Material: CrCdSe
Method: DFT, GGA-PBE
State: relaxed

Values from the calculation:
* energy relative to the lowest polymorph listed for this composition: 123.7 meV/atom
* formation energy without anion corrections: 0.116 eV per atom
* symmetry: No. 216

abc: 4.562 4.562 4.562
angles: 60.00 60.00 60.00
Site moments in Bohr magnetons follow the coordinates.
Sites, in units of the cell vectors:
Cr (0.250, 0.250, 0.250)  3.72
Cd (0.500, 0.500, 0.500)  -0.01
Se (0.000, 0.000, 0.000)  -0.10

---

Material: KRhCl2
Method: DFT, GGA-PBE
State: relaxed

Values from the calculation:
* energy relative to the lowest polymorph listed for this composition: 40.6 meV/atom
* formation energy without anion corrections: -0.741 eV per atom
* symmetry: No. 10

abc: 3.591 4.605 6.268
angles: 75.85 90.00 90.00
Sites, in units of the cell vectors:
Cl (0.000, 0.850, 0.968)
Cl (0.000, 0.650, 0.532)
Rh (0.500, 0.750, 0.750)
K (0.500, 0.250, 0.250)

---

Material: MgZn2P
Method: DFT, GGA-PBE
State: relaxed

Values from the calculation:
* E: -2.274 eV per atom
* symmetry: No. 216

abc: 4.610 4.610 4.610
angles: 60.00 60.00 60.00
Sites, in units of the cell vectors:
Mg (0.500, 0.500, 0.500)
P (0.750, 0.750, 0.750)
Zn (0.250, 0.250, 0.250)
Zn (0.000, 0.000, 0.000)